# 1
# LiBeW2 GGA-PBE relaxed
# Total energy in eV per formula unit: -30.0
# Magnetization in μB/cell: 0.00
data_LiBeW2
_chemical_formula_sum 'Li1 Be1 W2'
_cell_length_a 2.6702
_cell_length_b 2.6702
_cell_length_c 7.8874
_cell_angle_alpha 90.00
_cell_angle_beta 90.00
_cell_angle_gamma 90.00
_space_group_name_H-M_alt 'P 4/m m m'
_space_group_IT_number 123
_space_group_name_Hall '-P 4 2'
loop_
_atom_site_label
_atom_site_fract_x
_atom_site_fract_y
_atom_site_fract_z
Li1 0.0000 0.0000 0.0000
Be1 0.0000 0.0000 0.5000
W1 0.5000 0.5000 0.2912

# 2
# Zn2CrSn GGA-PBE relaxed
# Polymorph energy (0 for the lowest one) in meV per atom: 0
# Total energy in eV per formula unit: -15.6
# Magnetization in μB/cell: 3.08
data_Zn2CrSn
_chemical_formula_sum 'Zn2 Cr1 Sn1'
_cell_length_a 4.0029
_cell_length_b 4.0029
_cell_length_c 4.1582
_cell_angle_alpha 90.00
_cell_angle_beta 90.00
_cell_angle_gamma 90.00
_space_group_name_H-M_alt 'P 4/m m m'
_space_group_IT_number 123
_space_group_name_Hall '-P 4 2'
loop_
_atom_site_label
_atom_site_fract_x
_atom_site_fract_y
_atom_site_fract_z
Zn1 0.0000 0.5000 0.0000
Cr1 0.0000 0.0000 0.5000
Sn1 0.5000 0.5000 0.5000

# 3
# HgIr2Rh2 GGA-PBE relaxed
# Polymorph energy (0 for the lowest one) in meV per atom: 53
# Total energy in eV per formula unit: -30.9
# Magnetization in μB/cell: 0.00
data_HgIr2Rh2
_chemical_formula_sum 'Hg2 Ir4 Rh4'
_cell_length_a 7.6764
_cell_length_b 7.6764
_cell_length_c 2.7621
_cell_angle_alpha 90.00
_cell_angle_beta 90.00
_cell_angle_gamma 90.00
_space_group_name_H-M_alt 'P 4/m b m'
_space_group_IT_number 127
_space_group_name_Hall '-P 4 2ab'
loop_
_atom_site_label
_atom_site_fract_x
_atom_site_fract_y
_atom_site_fract_z
Hg1 0.0000 0.0000 0.0000
Ir1 0.1728 0.3272 0.5000
Rh1 0.1229 0.6229 0.0000

# 4
# In4Hg5Cl4 GGA-PBE relaxed
# Total energy in eV per formula unit: -26.1
# Magnetization in μB/cell: 0.00
# Raw formation energy in meV per atom: -481
data_In4Hg5Cl4
_chemical_formula_sum 'In4 Hg5 Cl4'
_cell_length_a 4.2982
_cell_length_b 8.8215
_cell_length_c 12.1196
_cell_angle_alpha 80.59
_cell_angle_beta 79.82
_cell_angle_gamma 76.05
_space_group_name_H-M_alt 'P -1'
_space_group_IT_number 2
loop_
_space_group_symop_operation_xyz
'x,y,z'
'-x,-y,-z'
loop_
_atom_site_label
_atom_site_fract_x
_atom_site_fract_y
_atom_site_fract_z
In1 0.1163 0.1375 0.1306
In2 0.2982 0.6402 0.2592
Hg1 0.0000 0.0000 0.5000
Hg2 0.3400 0.3461 0.4739
Hg3 0.3674 0.0683 0.6979
Cl1 0.0807 0.5409 0.8036
Cl2 0.3323 0.8008 0.0324

# 5
# Er4TmPd5 GGA-PBE relaxed
# Total energy in eV per formula unit: -57.9
# Magnetization in μB/cell: 0.00
data_Er4TmPd5
_chemical_formula_sum 'Er4 Tm1 Pd5'
_cell_length_a 3.4483
_cell_length_b 3.4483
_cell_length_c 17.6529
_cell_angle_alpha 90.00
_cell_angle_beta 90.00
_cell_angle_gamma 90.00
_space_group_name_H-M_alt 'P 4/m m m'
_space_group_IT_number 123
_space_group_name_Hall '-P 4 2'
loop_
_atom_site_label
_atom_site_fract_x
_atom_site_fract_y
_atom_site_fract_z
Er1 0.0000 0.0000 0.1002
Er2 0.0000 0.0000 0.3007
Tm1 0.0000 0.0000 0.5000
Pd1 0.5000 0.5000 0.0000
Pd2 0.5000 0.5000 0.2004
Pd3 0.5000 0.5000 0.4012

# 6
# MgPd5Pt4 GGA-PBE relaxed
# Total energy in eV per formula unit: -51.7
# Magnetization in μB/cell: 0.00
data_MgPd5Pt4
_chemical_formula_sum 'Mg2 Pd10 Pt8'
_cell_length_a 8.3003
_cell_length_b 8.9939
_cell_length_c 4.6902
_cell_angle_alpha 90.00
_cell_angle_beta 90.00
_cell_angle_gamma 90.00
_space_group_name_H-M_alt 'P m m n'
_space_group_IT_number 59
loop_
_space_group_symop_operation_xyz
'x,y,z'
'-x,-y,-z'
'-x+1/2,-y+1/2,z'
'x+1/2,y+1/2,-z'
'x+1/2,-y,-z'
'-x+1/2,y,z'
'-x,y+1/2,-z'
'x,-y+1/2,z'
loop_
_atom_site_label
_atom_site_fract_x
_atom_site_fract_y
_atom_site_fract_z
Mg1 0.2500 0.2500 0.0923
Pd1 0.0803 0.5006 0.2521
Pd2 0.2500 0.7500 0.3953
Pt1 0.0777 0.7500 0.8889
Pt2 0.2500 0.0021 0.7467